{
  "formula": "BeCdI4",
  "functional": "PBE-GGA",
  "state": "optimized geometry",
  "formation_energy_uncorrected_ev_per_atom": -0.29,
  "dft_energy_ev_per_fu": -12.6,
  "lattice_angstrom": [[7.9678, 0.0000, 0.0000], [0.0000, 7.9678, 0.0000], [0.0000, 0.0000, 10.1102]],
  "species": ["Be", "Be", "Cd", "Cd", "I", "I", "I", "I", "I", "I", "I", "I"],
  "fractional_positions": [[0.0000, 0.5000, 0.0000], [0.5000, 0.0000, 0.5000], [0.0000, 0.0000, 0.0000], [0.0000, 0.0000, 0.5000], [0.2318, 0.2764, 0.0000], [0.2318, 0.7236, 0.0000], [0.2764, 0.2318, 0.5000], [0.2764, 0.7682, 0.5000], [0.7236, 0.2318, 0.5000], [0.7236, 0.7682, 0.5000], [0.7682, 0.2764, 0.0000], [0.7682, 0.7236, 0.0000]]
}

{
  "formula": "Ni7Ge3H2",
  "functional": "PBE-GGA",
  "state": "optimized geometry",
  "dos_ef_per_ev_cell": 8.43,
  "dft_energy_ev_per_fu": -63.4,
  "lattice_angstrom": [[1.8317, -9.3013, 0.0000], [1.8317, 9.3013, 0.0000], [0.0000, 0.0000, 3.5829]],
  "species": ["Ni", "Ni", "Ni", "Ni", "Ni", "Ni", "Ni", "Ge", "Ge", "Ge", "H", "H"],
  "fractional_positions": [[0.0000, 0.0000, 0.0000], [0.0982, 0.9018, 0.5000], [0.2023, 0.7977, 0.0000], [0.4018, 0.5982, 0.0000], [0.5982, 0.4018, 0.0000], [0.7977, 0.2023, 0.0000], [0.9018, 0.0982, 0.5000], [0.3079, 0.6921, 0.5000], [0.5000, 0.5000, 0.5000], [0.6921, 0.3079, 0.5000], [0.0979, 0.9021, 0.0000], [0.9021, 0.0979, 0.0000]]
}